Record 1
Sc2AsI | SCAN | single point on PBEsol structure Values from VASP.

Structure (Quantum ESPRESSO input):
```
&SYSTEM
  ibrav = 0, nat = 8, ntyp = 3
/
ATOMIC_SPECIES
Sc 44.96 Sc.upf
I 126.90 I.upf
As 74.92 As.upf
ATOMIC_POSITIONS angstrom
Sc 1.558 1.280 4.661
Sc -1.558 -1.280 4.661
Sc 1.836 4.675 1.554
Sc 4.397 1.558 1.554
I 0.000 0.000 0.000
I 0.000 3.116 3.107
As 3.116 0.000 3.107
As 3.116 3.116 0.000
CELL_PARAMETERS angstrom
6.233 0.000 0.000
0.000 6.233 0.000
-3.116 -3.116 6.215
```

Computed properties:
Magnetization   0.00 μB/f.u.
E_tot   -176.352 eV for the cell shown
Space group   I-42d
Formation energy without anion corrections   -0.692 eV/atom

***

Record 2
TlRe2Cl | SCAN | single point on PBEsol structure Values from VASP.

Structure (Quantum ESPRESSO input):
```
&SYSTEM
  ibrav = 0, nat = 4, ntyp = 3
/
ATOMIC_SPECIES
Tl 204.38 Tl.upf
Re 186.21 Re.upf
Cl 35.45 Cl.upf
ATOMIC_POSITIONS angstrom
Tl 0.000 0.000 2.486
Re 2.314 3.799 0.000
Re 0.991 0.775 0.000
Cl 1.652 2.287 2.486
CELL_PARAMETERS angstrom
3.611 -0.036 0.000
-0.306 4.611 0.000
0.000 0.000 4.972
```

Computed properties:
Magnetization   0.00 μB/f.u.
E_tot   -218.308 eV for the cell shown
Space group   P2/m
Formation energy without anion corrections   1.056 eV/atom
Polymorph energy (0 for the lowest one)   0 meV per atom

***

Record 3
KTe2Se | SCAN | single point on PBEsol structure Values from VASP.

Structure (Quantum ESPRESSO input):
```
&SYSTEM
  ibrav = 0, nat = 4, ntyp = 3
/
ATOMIC_SPECIES
K 39.10 K.upf
Te 127.60 Te.upf
Se 78.96 Se.upf
ATOMIC_POSITIONS angstrom
K 0.995 3.168 2.771
Te 1.866 5.941 5.197
Te 1.770 -0.373 2.566
Se 2.838 3.029 5.541
CELL_PARAMETERS angstrom
-0.757 -2.219 2.809
3.480 -1.131 0.044
1.899 6.046 5.289
```

Computed properties:
Magnetization   0.00 μB/f.u.
E_tot   -103.597 eV for the cell shown
Space group   P4mm
Formation energy without anion corrections   -0.172 eV/atom

***

Record 4
La2CuSi | SCAN | single point on PBEsol structure Values from VASP.

Structure (Quantum ESPRESSO input):
```
&SYSTEM
  ibrav = 0, nat = 4, ntyp = 3
/
ATOMIC_SPECIES
La 138.91 La.upf
Cu 63.55 Cu.upf
Si 28.09 Si.upf
ATOMIC_POSITIONS angstrom
La 0.000 0.000 2.328
La 0.000 2.315 0.229
Cu 1.919 2.315 3.035
Si 0.000 2.315 4.485
CELL_PARAMETERS angstrom
3.837 0.000 0.000
0.000 4.630 0.000
-1.919 -2.315 5.038
```

Computed properties:
Magnetization   0.00 μB/f.u.
E_tot   -113.186 eV for the cell shown
Space group   Imm2
Formation energy without anion corrections   -0.440 eV/atom

***

Record 5
AlSb2Pb | SCAN | single point on PBEsol structure Values from VASP.

Structure (Quantum ESPRESSO input):
```
&SYSTEM
  ibrav = 0, nat = 4, ntyp = 3
/
ATOMIC_SPECIES
Sb 121.76 Sb.upf
Pb 207.20 Pb.upf
Al 26.98 Al.upf
ATOMIC_POSITIONS angstrom
Sb 0.000 -0.881 2.690
Sb 0.000 2.830 0.063
Pb 1.676 1.949 2.753
Al 1.676 0.000 0.000
CELL_PARAMETERS angstrom
3.352 0.000 0.000
0.000 5.660 0.126
0.000 -1.762 5.380
```

Computed properties:
Magnetization   0.00 μB/f.u.
E_tot   -156.943 eV for the cell shown
Space group   Cmmm
Formation energy without anion corrections   0.278 eV/atom
Polymorph energy (0 for the lowest one)   255 meV per atom

***

Record 6
MgCu2 | SCAN | single point on PBEsol structure Values from VASP.

Structure (Quantum ESPRESSO input):
```
&SYSTEM
  ibrav = 0, nat = 12, ntyp = 2
/
ATOMIC_SPECIES
Mg 24.30 Mg.upf
Cu 63.55 Cu.upf
ATOMIC_POSITIONS angstrom
Mg 3.767 -1.989 0.824
Mg 7.256 -5.072 4.652
Mg 6.566 -2.967 2.921
Mg 1.400 -0.489 1.049
Cu 9.572 -4.017 5.174
Cu 4.250 -4.022 2.399
Cu 0.760 -0.939 -1.429
Cu 4.406 -1.539 3.301
Cu 7.425 -2.594 5.563
Cu 1.231 -2.967 0.137
Cu 4.897 -3.575 4.883
Cu 2.082 -2.591 2.773
CELL_PARAMETERS angstrom
-1.854 -3.081 1.038
1.499 -1.871 -2.873
9.010 -0.610 7.536
```

Computed properties:
Magnetization   0.00 μB/f.u.
E_tot   -142.188 eV for the cell shown
Energy of formation from the pure elements   -0.06 eV/atom
Space group   I4_1/amd

***

Record 7
FePF2 | SCAN | single point on PBEsol structure Values from VASP.

Structure (Quantum ESPRESSO input):
```
&SYSTEM
  ibrav = 0, nat = 4, ntyp = 3
/
ATOMIC_SPECIES
F 19.00 F.upf
Fe 55.84 Fe.upf
P 30.97 P.upf
ATOMIC_POSITIONS angstrom
F 1.336 0.772 5.764
F 4.009 2.315 3.065
Fe 2.673 1.543 4.415
P 0.000 0.000 0.000
CELL_PARAMETERS angstrom
2.673 0.000 0.000
1.336 2.315 0.000
1.336 0.772 8.829
```

Computed properties:
Magnetization   3.85 μB/f.u.
E_tot   -40.076 eV for the cell shown
Space group   R-3m
Formation energy without anion corrections   -1.117 eV/atom

***

Record 8
SrZnIr3 | SCAN | single point on PBEsol structure Values from VASP.

Structure (Quantum ESPRESSO input):
```
&SYSTEM
  ibrav = 0, nat = 5, ntyp = 3
/
ATOMIC_SPECIES
Zn 65.41 Zn.upf
Ir 192.22 Ir.upf
Sr 87.62 Sr.upf
ATOMIC_POSITIONS angstrom
Zn 1.144 -3.483 2.017
Ir -1.219 -1.024 1.817
Ir 2.064 -0.291 1.221
Ir 0.299 -2.169 -1.021
Sr 0.000 0.000 0.000
CELL_PARAMETERS angstrom
-2.438 -2.047 3.635
0.597 -4.338 -2.042
4.128 -0.581 2.442
```

Computed properties:
Magnetization   1.37 μB/f.u.
E_tot   -233.948 eV for the cell shown
Energy of formation from the pure elements   3.03 eV/atom
Space group   Pm-3m

***

Record 9
MgZn2P2H24O20 | SCAN | single point on PBEsol structure Values from VASP.

Structure (Quantum ESPRESSO input):
```
&SYSTEM
  ibrav = 0, nat = 98, ntyp = 5
/
ATOMIC_SPECIES
H 1.01 H.upf
O 16.00 O.upf
Zn 65.41 Zn.upf
Mg 24.30 Mg.upf
P 30.97 P.upf
ATOMIC_POSITIONS angstrom
H 6.027 1.560 6.962
H 2.891 0.716 9.079
H 2.416 3.037 6.624
H 0.136 6.976 9.148
H 2.606 4.432 9.957
H 1.662 6.368 9.284
H 3.295 5.429 2.586
H 1.004 4.621 0.976
H 4.424 4.540 4.646
H 0.782 7.984 1.792
H 6.608 5.853 2.339
H 0.232 1.724 8.931
H 3.284 8.561 3.499
H 4.202 1.177 3.830
H 5.172 5.859 5.163
H 5.162 -1.582 10.103
H 3.556 -0.985 7.771
H 6.058 -0.407 9.478
H 4.474 3.102 7.121
H 6.311 5.276 7.840
H 1.742 7.574 6.816
H 1.758 7.953 3.635
H 4.234 3.145 1.314
H 5.836 2.955 10.295
H 3.652 4.268 7.987
H 6.715 3.733 3.036
H 5.155 0.045 11.283
H 1.054 2.890 9.798
H 3.545 2.148 8.684
H 5.106 1.630 5.635
H 5.787 4.686 1.472
H 2.638 6.399 7.440
H 5.089 4.274 10.811
H 1.735 5.947 5.636
H 3.949 6.861 2.191
H 0.125 3.844 8.235
H 2.367 4.475 4.150
H 1.669 1.718 6.107
H 3.188 3.309 3.283
H 6.704 0.600 2.123
H 1.686 7.532 -0.013
H 5.099 0.003 4.455
H 0.814 6.017 4.308
H 0.529 2.300 3.431
H 1.679 9.159 1.167
H 1.751 3.302 0.459
H 5.082 -0.376 7.635
H 5.179 1.208 1.987
O 5.858 -0.901 10.321
O 1.368 0.843 2.888
O 1.553 0.080 6.207
O 5.101 3.280 10.905
O 1.009 7.040 9.636
O 6.631 4.926 1.977
O 4.429 -1.049 7.283
O 3.853 -2.728 9.843
O 0.108 4.579 7.540
O 4.788 8.318 2.734
O 4.649 3.800 0.684
O 3.312 6.164 1.891
O 2.411 8.625 3.988
O 2.987 10.305 1.427
O 0.209 2.651 9.294
O 0.433 8.720 7.075
O 6.407 -1.143 4.195
O 1.867 1.664 0.558
O 4.974 5.912 10.712
O 2.438 6.893 6.598
O 3.211 4.236 3.645
O 4.402 0.684 4.672
O 1.739 4.297 0.365
O 5.831 0.536 1.634
O 1.681 2.712 6.014
O 3.635 1.870 2.356
O 3.629 3.341 7.625
O 6.625 0.285 8.004
O 5.611 2.215 6.333
O 0.215 7.291 3.266
O 3.529 1.413 9.379
O 0.982 8.478 0.950
O 2.191 3.777 10.586
O 1.229 5.362 4.938
O 5.472 6.734 8.383
O 5.287 7.497 5.064
O 3.205 5.707 8.915
O 5.159 4.865 5.257
O 6.732 2.997 3.731
O 2.052 -0.742 8.536
Zn 1.989 -2.053 10.010
Zn 4.851 9.630 1.261
Zn 5.409 8.045 6.909
Zn 1.431 -0.469 4.361
Mg 3.420 5.373 -0.013
Mg 0.000 3.788 5.635
P 4.346 6.599 9.476
P 2.495 0.978 1.794
P 5.915 8.183 3.827
P 0.925 -0.607 7.443
CELL_PARAMETERS angstrom
6.840 0.000 0.000
0.000 10.746 -0.027
0.000 -3.170 11.297
```

Computed properties:
Magnetization   0.00 μB/f.u.
E_tot   -659.396 eV for the cell shown
Space group   P2_1/c

***

Record 10
Be4FeCo | SCAN | single point on PBEsol structure Values from VASP.

Structure (Quantum ESPRESSO input):
```
&SYSTEM
  ibrav = 0, nat = 6, ntyp = 3
/
ATOMIC_SPECIES
Be 9.01 Be.upf
Co 58.93 Co.upf
Fe 55.84 Fe.upf
ATOMIC_POSITIONS angstrom
Be -4.527 -0.700 3.209
Be -2.525 -0.753 2.709
Be -3.094 -0.330 4.647
Be -3.332 -2.237 3.895
Co -5.054 -1.507 5.422
Fe 0.000 0.000 0.000
CELL_PARAMETERS angstrom
-1.135 0.844 3.867
-3.994 0.106 0.997
-1.611 -2.960 2.366
```

Computed properties:
Magnetization   4.01 μB/f.u.
E_tot   -54.346 eV for the cell shown
Energy of formation from the pure elements   -0.25 eV/atom
Space group   F-43m

***

Record 11
CdHg | SCAN | single point on PBEsol structure Values from VASP.

Structure (Quantum ESPRESSO input):
```
&SYSTEM
  ibrav = 0, nat = 4, ntyp = 2
/
ATOMIC_SPECIES
Cd 112.41 Cd.upf
Hg 200.59 Hg.upf
ATOMIC_POSITIONS angstrom
Cd 2.082 -2.209 -0.814
Cd 0.000 0.000 0.000
Hg 0.033 -2.807 1.413
Hg -0.960 -2.487 -1.552
CELL_PARAMETERS angstrom
-3.009 -3.085 0.675
1.089 -1.889 -3.778
4.035 -0.041 3.702
```

Computed properties:
Magnetization   0.00 μB/f.u.
E_tot   -197.068 eV for the cell shown
Energy of formation from the pure elements   0.02 eV/atom
Space group   I4_1/amd

***

Record 12
LiTe2Pd | SCAN | single point on PBEsol structure Values from VASP.

Structure (Quantum ESPRESSO input):
```
&SYSTEM
  ibrav = 0, nat = 8, ntyp = 3
/
ATOMIC_SPECIES
Pd 106.42 Pd.upf
Te 127.60 Te.upf
Li 6.94 Li.upf
ATOMIC_POSITIONS angstrom
Pd 0.000 0.000 0.000
Pd 2.194 -3.833 -1.831
Te 5.369 -3.447 1.057
Te -0.305 -3.380 -2.566
Te -1.355 -4.045 0.602
Te 3.101 -5.673 -0.163
Li -2.242 -2.193 -1.131
Li 1.211 -4.440 1.296
CELL_PARAMETERS angstrom
-3.225 -2.800 1.996
-1.258 -1.586 -4.258
7.888 -3.887 1.727
```

Computed properties:
Magnetization   0.00 μB/f.u.
E_tot   -222.658 eV for the cell shown
Space group   I-42d
Formation energy without anion corrections   -0.416 eV/atom